1.
DFT (PBE) results for a relaxed Nd3Ga8Ir3 crystal.

The total DFT energy (no corrections) is -148.2 eV per cell. Its density is 9.71 g/cm³. As for the calculated volume: 19.135 A^3/atom.

It has space group Immm (No. 71), with a = 4.2922 Å, b = 9.9633 Å, c = 12.5287 Å, α = 90.00°, β = 90.00° and γ = 90.00°. The asymmetric unit holds Nd at (0.0000, 0.0000, 0.0000), Nd at (0.0000, 0.0000, 0.3254), Ga at (0.0000, 0.2843, 0.1212), Ga at (0.0000, 0.3680, 0.3322), Ir at (0.0000, 0.2186, 0.5000) and Ir at (0.0000, 0.5000, 0.0000).



2.
DFT (PBE) results for a relaxed SiPb2Au4 crystal.

The formation energy (no corrections) comes out at -52 meV per atom. Its density is 13.04 g/cm³. As for the calculated volume: 22.379 A^3/atom.

It has space group P2_1/m (No. 11), with a = 5.9463 Å, b = 6.2843 Å, c = 8.7531 Å, α = 90.00°, β = 106.69° and γ = 90.00°. The asymmetric unit holds Si at (0.1419, 0.2500, 0.2752), Pb at (0.1403, 0.2500, 0.8858), Pb at (0.2644, 0.7500, 0.5221), Au at (0.2624, 0.2500, 0.5688), Au at (0.2686, 0.7500, 0.8815) and Au at (0.3711, 0.5252, 0.1898).



3.
DFT (PBE) results for a relaxed Na2BiPb2 crystal.

The total DFT energy (no corrections) is -27.8 eV per cell. Its density is 7.57 g/cm³. As for the calculated volume: 29.368 A^3/atom.

It has space group P4/mbm (No. 127), with a = 8.8498 Å, b = 8.8498 Å, c = 3.7498 Å, α = 90.00°, β = 90.00° and γ = 90.00°. The asymmetric unit holds Na at (0.1426, 0.3574, 0.0000), Bi at (0.0000, 0.0000, 0.0000) and Pb at (0.1559, 0.6559, 0.5000).



4.
DFT (PBE) results for a relaxed CeYPS crystal.

The formation energy (no corrections) comes out at -1834 meV per atom. Its density is 5.27 g/cm³. As for the calculated volume: 22.999 A^3/atom.

It has space group R3m (No. 160, hexagonal axes), with a = 4.0174 Å, b = 4.0174 Å, c = 19.7452 Å, α = 90.00°, β = 90.00° and γ = 120.00°. The asymmetric unit holds Ce at (0.0000, 0.0000, 0.0000), Y at (0.0000, 0.0000, 0.4967), P at (0.0000, 0.0000, 0.7504) and S at (0.0000, 0.0000, 0.2457).